# 1
# Nd2Ag2Au, relaxed, DFT GGA-PBE
# theoretical density = 9520 kg/m3
# energy above the lowest structure with this stoichiometry = 0.030 eV/atom
# formation enthalpy at 0 K = -2.013 eV per formula unit
data_Nd2Ag2Au
_space_group_name_H-M_alt 'P 1'
_space_group_IT_number 1
_space_group_name_Hall 'P 1'
_cell_length_a 5.7418
_cell_length_b 10.2164
_cell_length_c 14.1838
_cell_angle_alpha 20.09
_cell_angle_beta 63.81
_cell_angle_gamma 59.53
loop_
_atom_site_label
_atom_site_type_symbol
_atom_site_fract_x
_atom_site_fract_y
_atom_site_fract_z
_atom_site_occupancy
Nd1 Nd 0.4372 0.8566 0.9266 1
Nd2 Nd 0.8984 0.3619 0.3900 1
Nd3 Nd 0.5628 0.1434 0.0734 1
Nd4 Nd 0.1016 0.6381 0.6100 1
Ag1 Ag 0.4944 0.0195 0.5861 1
Ag2 Ag 0.9167 0.3809 0.0099 1
Ag3 Ag 0.5056 0.9805 0.4139 1
Ag4 Ag 0.0833 0.6191 0.9901 1
Au1 Au 0.2299 0.7310 0.2661 1
Au2 Au 0.7701 0.2690 0.7339 1

# 2
# PmSc12Co5, relaxed, DFT GGA-PBE
# theoretical density = 4486 kg/m3
# formation enthalpy at 0 K = -3.174 eV per formula unit
data_PmSc12Co5
_space_group_name_H-M_alt 'P 1'
_space_group_IT_number 1
_space_group_name_Hall 'P 1'
_cell_length_a 7.7989
_cell_length_b 7.7989
_cell_length_c 7.7989
_cell_angle_alpha 103.74
_cell_angle_beta 111.91
_cell_angle_gamma 112.92
loop_
_atom_site_label
_atom_site_type_symbol
_atom_site_fract_x
_atom_site_fract_y
_atom_site_fract_z
_atom_site_occupancy
Pm1 Pm 0.0000 0.5000 0.5000 1
Sc1 Sc 0.5480 0.8210 0.7270 1
Sc2 Sc 0.4520 0.1790 0.2730 1
Sc3 Sc 0.9059 0.1790 0.7270 1
Sc4 Sc 0.0941 0.8210 0.2730 1
Sc5 Sc 0.6852 0.6852 0.3704 1
Sc6 Sc 0.3147 0.3148 0.6296 1
Sc7 Sc 0.3147 0.6852 0.9999 1
Sc8 Sc 0.6852 0.3148 0.0001 1
Sc9 Sc 0.8094 0.5907 0.7812 1
Sc10 Sc 0.1906 0.4093 0.2188 1
Sc11 Sc 0.1906 0.9718 0.7812 1
Sc12 Sc 0.8094 0.0282 0.2188 1
Co1 Co 0.6513 0.6513 0.0000 1
Co2 Co 0.3487 0.3487 0.0000 1
Co3 Co 0.5000 0.1182 0.6182 1
Co4 Co 0.5000 0.8818 0.3818 1
Co5 Co 0.0000 0.0000 0.0000 1

Repeat the first record exactly.
# Nd2Ag2Au, relaxed, DFT GGA-PBE
# theoretical density = 9520 kg/m3
# energy above the lowest structure with this stoichiometry = 0.030 eV/atom
# formation enthalpy at 0 K = -2.013 eV per formula unit
data_Nd2Ag2Au
_space_group_name_H-M_alt 'P 1'
_space_group_IT_number 1
_space_group_name_Hall 'P 1'
_cell_length_a 5.7418
_cell_length_b 10.2164
_cell_length_c 14.1838
_cell_angle_alpha 20.09
_cell_angle_beta 63.81
_cell_angle_gamma 59.53
loop_
_atom_site_label
_atom_site_type_symbol
_atom_site_fract_x
_atom_site_fract_y
_atom_site_fract_z
_atom_site_occupancy
Nd1 Nd 0.4372 0.8566 0.9266 1
Nd2 Nd 0.8984 0.3619 0.3900 1
Nd3 Nd 0.5628 0.1434 0.0734 1
Nd4 Nd 0.1016 0.6381 0.6100 1
Ag1 Ag 0.4944 0.0195 0.5861 1
Ag2 Ag 0.9167 0.3809 0.0099 1
Ag3 Ag 0.5056 0.9805 0.4139 1
Ag4 Ag 0.0833 0.6191 0.9901 1
Au1 Au 0.2299 0.7310 0.2661 1
Au2 Au 0.7701 0.2690 0.7339 1

The lowest theoretical density belongs to which entry?
PmSc12Co5